No. 1
Ba2LaRu: optimized geometry, GGA-PBE.

Geometry as extended XYZ:
```
4
Lattice="3.201 -5.250 0.000 3.201 5.250 0.000 0.000 0.000 3.956" Properties=species:S:1:pos:R:3 pbc="T T T"
Ba 1.600 2.625 0.000
Ba 1.600 -2.625 0.000
La 0.000 0.000 1.978
Ru 3.201 0.000 1.978
```

***

No. 2
BaSr3Pt: optimized geometry, GGA-PBE.

Geometry as extended XYZ:
```
5
Lattice="5.948 0.000 0.000 0.000 5.948 0.000 0.000 0.000 5.948" Properties=species:S:1:pos:R:3 pbc="T T T"
Ba 0.000 0.000 0.000
Sr 0.000 0.000 2.974
Sr 0.000 2.974 0.000
Sr 2.974 0.000 0.000
Pt 2.974 2.974 2.974
```

***

No. 3
KTeIr2: optimized geometry, GGA-PBE.

For the formation energy without anion corrections, the calculation gives 0.97 eV/atom.

Geometry as extended XYZ:
```
4
Lattice="0.000 3.415 3.415 3.415 0.000 3.415 3.415 3.415 0.000" Properties=species:S:1:pos:R:3 pbc="T T T"
K 0.000 0.000 0.000
Te 5.122 5.122 5.122
Ir 1.707 1.707 1.707
Ir 3.415 3.415 3.415
```

***

No. 4
YHfCoRh2: optimized geometry, GGA-PBE.

Geometry as extended XYZ:
```
5
Lattice="4.706 0.000 0.000 0.000 4.706 0.000 0.000 0.000 5.494" Properties=species:S:1:pos:R:3 pbc="T T T"
Y 0.000 0.000 0.000
Hf 0.000 0.000 2.747
Co 2.353 2.353 0.000
Rh 0.000 2.353 2.747
Rh 2.353 0.000 2.747
```

***

No. 5
NdErF6: optimized geometry, GGA-PBE.

For the formation energy without anion corrections, the calculation gives -4.09 eV/atom.

Geometry as extended XYZ:
```
8
Lattice="3.589 -2.726 0.000 3.589 2.726 0.000 -2.051 0.000 5.906" Properties=species:S:1:pos:R:3 pbc="T T T"
Nd 0.000 0.000 0.000
Er 2.563 0.357 2.953
F 1.990 1.158 0.844
F 0.483 -0.811 2.280
F 3.137 1.158 5.062
F 3.003 -1.129 1.489
F 2.124 -1.129 4.417
F 4.644 -0.811 3.625
```

***

No. 6
PuH8PtRh4: optimized geometry, GGA-PBE.

Geometry as extended XYZ:
```
14
Lattice="2.840 1.639 4.617 -2.840 1.639 4.617 0.000 -3.279 4.617" Properties=species:S:1:pos:R:3 pbc="T T T"
Pu 0.000 0.000 0.000
H -1.709 -0.987 6.975
H 0.000 0.000 2.198
H 0.000 -1.178 3.932
H -1.020 0.589 3.932
H 1.020 0.589 3.932
H 0.000 0.000 8.539
H 1.709 -0.987 6.975
H 0.000 1.974 6.975
Pt 0.000 0.000 5.310
Rh 0.000 -1.610 7.510
Rh -1.395 0.805 7.510
Rh 0.000 0.000 10.417
Rh 1.395 0.805 7.510
```

***

No. 7
KMgGeTe3: optimized geometry, GGA-PBE.

For the formation energy without anion corrections, the calculation gives -0.53 eV/atom.

Geometry as extended XYZ:
```
12
Lattice="9.070 0.000 0.000 0.000 4.749 0.000 -3.578 0.000 9.919" Properties=species:S:1:pos:R:3 pbc="T T T"
K 1.268 1.187 2.362
K 4.224 3.562 7.558
Mg -0.017 3.562 8.852
Mg 5.509 1.187 1.068
Ge -1.304 1.187 6.155
Ge 6.795 3.562 3.765
Te -2.268 1.187 8.571
Te -0.099 3.562 5.511
Te 3.801 3.562 1.754
Te 1.691 1.187 8.165
Te 5.591 1.187 4.409
Te 7.760 3.562 1.348
```

***

No. 8
Cd2IrCl: optimized geometry, GGA-PBE.

For the formation energy without anion corrections, the calculation gives 0.28 eV/atom.

Geometry as extended XYZ:
```
4
Lattice="-1.457 2.154 6.594 1.457 -2.154 6.594 1.457 2.154 -6.594" Properties=species:S:1:pos:R:3 pbc="T T T"
Cd 0.000 0.000 2.459
Cd 0.000 0.000 10.729
Ir 1.457 0.000 0.000
Cl 0.000 2.154 0.000
```

***

Number 1: energy -15.3 eV/f.u.. Number 2: energy -6.8 eV/f.u.. Number 3: energy -18.1 eV/f.u.. Number 4: energy -32.9 eV/f.u.. Number 5: energy -53.3 eV/f.u.. Number 6: energy -78.1 eV/f.u.. Number 7: energy -19.9 eV/f.u.. Number 8: energy -11.4 eV/f.u..